# 1
Below is a relaxed Zr3Ir crystal, with properties calculated at the PBE level.

Computed properties:
* ΔE_f: -0.269 eV per atom

a b c (Å): 3.106 5.510 5.510
angles (deg): 63.45 100.83 79.17
Fractional coordinates of all 4 atoms:
1 Zr 0.500 0.000 0.500
2 Zr 0.000 0.500 0.500
3 Zr 0.500 0.500 0.000
4 Ir 0.000 0.000 0.000

# 2
Below is a relaxed Zr3Ir crystal, with properties calculated at the PBE level.

Computed properties:
* ΔE_f: -0.519 eV per atom

a b c (Å): 8.163 8.163 8.163
angles (deg): 97.05 97.05 138.98
Fractional coordinates of all 16 atoms:
1 Zr 0.042 0.042 0.588
2 Zr 0.854 0.500 0.354
3 Zr 0.500 0.854 0.354
4 Zr 0.146 0.500 0.646
5 Zr 0.359 0.168 0.000
6 Zr 0.168 0.359 0.000
7 Zr 0.958 0.546 0.000
8 Zr 0.454 0.454 0.412
9 Zr 0.546 0.958 0.000
10 Zr 0.832 0.832 0.191
11 Zr 0.641 0.641 0.809
12 Zr 0.500 0.146 0.646
13 Ir 0.000 0.708 0.708
14 Ir 0.292 0.000 0.292
15 Ir 0.000 0.292 0.292
16 Ir 0.708 0.000 0.708

# 3
Below is a relaxed ZrIr4 crystal, with properties calculated at the PBE level.

Computed properties:
* ΔE_f: -0.438 eV per atom

a b c (Å): 4.228 5.593 7.576
angles (deg): 111.66 106.20 90.00
Fractional coordinates of all 10 atoms:
1 Zr 0.107 0.857 0.214
2 Zr 0.893 0.143 0.786
3 Ir 0.303 0.316 0.607
4 Ir 0.697 0.210 0.393
5 Ir 0.303 0.790 0.607
6 Ir 0.500 0.000 0.000
7 Ir 0.894 0.644 0.788
8 Ir 0.697 0.684 0.393
9 Ir 0.500 0.500 0.000
10 Ir 0.106 0.356 0.212

# 4
Below is a relaxed Zr3Ir crystal, with properties calculated at the PBE level.

Computed properties:
* ΔE_f: -0.157 eV per atom

a b c (Å): 3.261 9.435 3.261
angles (deg): 80.05 120.00 99.95
Fractional coordinates of all 4 atoms:
1 Zr 0.500 0.500 0.500
2 Zr 0.740 0.219 0.260
3 Zr 0.260 0.781 0.740
4 Ir 0.000 0.000 0.000

Calculated values (states/eV/atom) of DOS at the Fermi energy for the records, taken in order: 1.431; 1.220; 1.187; 1.364.